No. 1
Below is AgRuCl2 at its PBEsol-relaxed geometry, with properties calculated at the SCAN level. Values from VASP.

Summary:
distance to the lowest polymorph of the same formula: 478 meV/atom
uncorrected formation energy: 0.70 eV/atom

Quantum ESPRESSO input file:
```
&SYSTEM
  ibrav = 0, nat = 4, ntyp = 3
/
ATOMIC_SPECIES
Ag 107.87 Ag.upf
Ru 101.07 Ru.upf
Cl 35.45 Cl.upf
CELL_PARAMETERS angstrom
0.000 3.273 3.273
3.273 0.000 3.273
3.273 3.273 0.000
ATOMIC_POSITIONS angstrom
Ag 0.000 0.000 0.000
Ru 1.637 1.637 1.637
Cl 3.273 3.273 3.273
Cl 4.910 4.910 4.910
```


No. 2
Below is AgRuCl2 at its PBEsol-relaxed geometry, with properties calculated at the SCAN level. Values from VASP.

Summary:
distance to the lowest polymorph of the same formula: 0 meV/atom
uncorrected formation energy: 0.22 eV/atom

Quantum ESPRESSO input file:
```
&SYSTEM
  ibrav = 0, nat = 4, ntyp = 3
/
ATOMIC_SPECIES
Ag 107.87 Ag.upf
Ru 101.07 Ru.upf
Cl 35.45 Cl.upf
CELL_PARAMETERS angstrom
0.000 3.237 3.237
3.237 0.000 3.237
3.237 3.237 0.000
ATOMIC_POSITIONS angstrom
Ag 0.000 0.000 0.000
Ru 3.237 3.237 3.237
Cl 1.618 1.618 1.618
Cl 4.855 4.855 4.855
```